(1)
Computed, not measured: crystalline UTaAs2 at its relaxed geometry at the PBE level of DFT.

VASP energy in eV/atom: -8.5264
DOS(E_F) in states/eV/atom: 0.8887
DFT formation energy in eV per atom: -0.42

Lattice parameters (Å, degrees): 4.719 4.719 4.719 60.00 60.00 60.00
Element x y z (fractional)
U1 0.000 0.000 0.000
Ta1 0.500 0.500 0.500
As1 0.250 0.250 0.250
As2 0.750 0.750 0.750

(2)
Computed, not measured: crystalline MnNi3Rh4 at its relaxed geometry at the PBE level of DFT.

VASP energy in eV/atom: -7.0055
DOS(E_F) in states/eV/atom: 1.6733
DFT formation energy in eV per atom: -0.02

Lattice parameters (Å, degrees): 8.537 5.414 4.466 90.00 90.00 90.00
Element x y z (fractional)
Mn1 0.000 0.000 0.000
Mn2 0.500 0.000 0.000
Ni1 0.000 0.500 0.000
Ni2 0.250 0.000 0.359
Ni3 0.250 0.500 0.349
Ni4 0.500 0.500 0.000
Ni5 0.750 0.000 0.641
Ni6 0.750 0.500 0.651
Rh1 0.000 0.251 0.500
Rh2 0.000 0.749 0.500
Rh3 0.250 0.253 0.862
Rh4 0.250 0.747 0.862
Rh5 0.500 0.251 0.500
Rh6 0.500 0.749 0.500
Rh7 0.750 0.253 0.138
Rh8 0.750 0.747 0.138

(3)
Computed, not measured: crystalline NbAl2Cu2 at its relaxed geometry at the PBE level of DFT.

VASP energy in eV/atom: -5.2976
DOS(E_F) in states/eV/atom: 0.6485
DFT formation energy in eV per atom: -0.15

Lattice parameters (Å, degrees): 7.272 7.272 2.726 90.00 90.00 90.00
Element x y z (fractional)
Nb1 0.000 0.000 0.000
Nb2 0.500 0.500 0.000
Al1 0.139 0.361 0.000
Al2 0.361 0.861 0.000
Al3 0.639 0.139 0.000
Al4 0.861 0.639 0.000
Cu1 0.157 0.657 0.500
Cu2 0.343 0.157 0.500
Cu3 0.657 0.843 0.500
Cu4 0.843 0.343 0.500

(4)
Computed, not measured: crystalline Ce2ScAs3 at its relaxed geometry at the PBE level of DFT.

VASP energy in eV/atom: -6.7151
DOS(E_F) in states/eV/atom: 1.6640
DFT formation energy in eV per atom: -1.36

Lattice parameters (Å, degrees): 9.149 9.149 9.149 153.88 153.88 37.27
Element x y z (fractional)
Ce1 0.166 0.166 0.000
Ce2 0.834 0.834 0.000
Sc1 0.500 0.500 0.000
As1 0.000 0.000 0.000
As2 0.339 0.339 0.000
As3 0.661 0.661 0.000

(5)
Computed, not measured: crystalline Tb2CoGe at its relaxed geometry at the PBE level of DFT.

VASP energy in eV/atom: -5.6371
DOS(E_F) in states/eV/atom: 0.5583
DFT formation energy in eV per atom: -0.39

Lattice parameters (Å, degrees): 3.437 3.437 7.155 90.00 90.00 90.00
Element x y z (fractional)
Tb1 0.000 0.000 0.232
Tb2 0.000 0.000 0.768
Co1 0.500 0.500 0.000
Ge1 0.500 0.500 0.500

(6)
Computed, not measured: crystalline Zr3Os5N12 at its relaxed geometry at the PBE level of DFT.

VASP energy in eV/atom: -9.1309
DOS(E_F) in states/eV/atom: 0.6818
Uncorrected formation energy in eV/atom: -0.05

Lattice parameters (Å, degrees): 10.734 10.734 10.734 109.47 109.47 109.47
Element x y z (fractional)
Zr1 0.125 0.250 0.375
Zr2 0.125 0.375 0.750
Zr3 0.250 0.375 0.125
Zr4 0.250 0.875 0.625
Zr5 0.375 0.125 0.250
Zr6 0.375 0.750 0.125
Zr7 0.625 0.250 0.875
Zr8 0.625 0.875 0.750
Zr9 0.750 0.125 0.375
Zr10 0.750 0.625 0.875
Zr11 0.875 0.625 0.250
Zr12 0.875 0.750 0.625
Os1 0.000 0.000 0.000
Os2 0.000 0.000 0.500
Os3 0.000 0.500 0.000
Os4 0.000 0.500 0.500
Os5 0.125 0.750 0.875
Os6 0.125 0.875 0.250
Os7 0.250 0.125 0.875
Os8 0.250 0.625 0.375
Os9 0.375 0.250 0.625
Os10 0.375 0.625 0.750
Os11 0.500 0.000 0.000
Os12 0.500 0.000 0.500
Os13 0.500 0.500 0.000
Os14 0.500 0.500 0.500
Os15 0.625 0.375 0.250
Os16 0.625 0.750 0.375
Os17 0.750 0.375 0.625
Os18 0.750 0.875 0.125
Os19 0.875 0.125 0.750
Os20 0.875 0.250 0.125
N1 0.033 0.211 0.125
N2 0.033 0.322 0.908
N3 0.086 0.711 0.678
N4 0.086 0.875 0.408
N5 0.092 0.625 0.414
N6 0.092 0.967 0.678
N7 0.125 0.033 0.211
N8 0.125 0.592 0.914
N9 0.178 0.211 0.586
N10 0.178 0.467 0.592
N11 0.211 0.125 0.033
N12 0.211 0.586 0.178
N13 0.289 0.322 0.914
N14 0.289 0.467 0.375
N15 0.322 0.908 0.033
N16 0.322 0.914 0.289
N17 0.375 0.289 0.467
N18 0.375 0.586 0.908
N19 0.408 0.086 0.875
N20 0.408 0.822 0.533
N21 0.414 0.092 0.625
N22 0.414 0.822 0.789
N23 0.467 0.375 0.289
N24 0.467 0.592 0.178
N25 0.533 0.408 0.822
N26 0.533 0.625 0.711
N27 0.586 0.178 0.211
N28 0.586 0.908 0.375
N29 0.592 0.178 0.467
N30 0.592 0.914 0.125
N31 0.625 0.414 0.092
N32 0.625 0.711 0.533
N33 0.678 0.086 0.711
N34 0.678 0.092 0.967
N35 0.711 0.533 0.625
N36 0.711 0.678 0.086
N37 0.789 0.414 0.822
N38 0.789 0.875 0.967
N39 0.822 0.533 0.408
N40 0.822 0.789 0.414
N41 0.875 0.408 0.086
N42 0.875 0.967 0.789
N43 0.908 0.033 0.322
N44 0.908 0.375 0.586
N45 0.914 0.125 0.592
N46 0.914 0.289 0.322
N47 0.967 0.678 0.092
N48 0.967 0.789 0.875

(7)
Computed, not measured: crystalline PrHo4Cd at its relaxed geometry at the PBE level of DFT.

VASP energy in eV/atom: -4.0855
DOS(E_F) in states/eV/atom: 1.4426
DFT formation energy in eV per atom: -0.08

Lattice parameters (Å, degrees): 3.590 3.590 14.095 90.00 90.00 90.00
Element x y z (fractional)
Pr1 0.000 0.000 0.000
Ho1 0.000 0.000 0.355
Ho2 0.000 0.000 0.645
Ho3 0.500 0.500 0.181
Ho4 0.500 0.500 0.819
Cd1 0.500 0.500 0.500

(8)
Computed, not measured: crystalline HgPtRh at its relaxed geometry at the PBE level of DFT.

VASP energy in eV/atom: -4.3454
DOS(E_F) in states/eV/atom: 1.1007
DFT formation energy in eV per atom: 0.22

Lattice parameters (Å, degrees): 5.392 5.392 13.463 90.00 90.00 120.00
Element x y z (fractional)
Hg1 0.000 0.000 0.000
Hg2 0.000 0.000 0.333
Hg3 0.000 0.000 0.667
Hg4 0.000 0.500 0.167
Hg5 0.500 0.000 0.500
Hg6 0.500 0.500 0.833
Pt1 0.000 0.500 0.489
Pt2 0.000 0.500 0.845
Pt3 0.500 0.000 0.178
Pt4 0.500 0.000 0.822
Pt5 0.500 0.500 0.155
Pt6 0.500 0.500 0.511
Rh1 0.279 0.639 0.667
Rh2 0.361 0.639 0.333
Rh3 0.361 0.721 0.000
Rh4 0.639 0.279 0.000
Rh5 0.639 0.361 0.333
Rh6 0.721 0.361 0.667